4
Lattice="-0.096 -2.886 2.768 2.282 -3.258 -0.427 6.783 1.658 4.855" Properties=species:S:1:pos:R:3 comment="DyPbSe2 | the Alexandria database | GGA-PBE | relaxed" total_magnetization_mub_per_cell=0.000 formation_energy_uncorrected_ev_per_atom=-1.19 de_polymorph_kj_per_mol_atoms=0.0 pbc="T T T"
Dy 1.458 -4.096 1.561
Pb 4.470 -2.252 3.589
Se 5.546 0.901 4.022
Se 1.979 -1.282 1.622